*A*
VASP calculation (PBE) on a relaxed CdIr2C crystal.

```
CdIr2C
1.0
0.000 3.058 3.058
3.058 0.000 3.058
3.058 3.058 0.000
Cd Ir C
1 2 1
direct
0.000 0.000 0.000
0.250 0.250 0.250
0.750 0.750 0.750
0.500 0.500 0.500
```

The value obtained for the magnetization is 0.00 μB per formula unit. Its density of states at the Fermi level is 0.38 states/eV per atom.



*B*
VASP calculation (PBE) on a relaxed CdIr2C crystal.

```
CdIr2C
1.0
-3.257 3.257 2.879
3.257 -3.257 2.879
3.257 3.257 -2.879
Cd Ir C
2 4 2
direct
0.000 0.000 0.000
0.750 0.250 0.500
0.244 0.625 0.119
0.375 0.494 0.619
0.506 0.125 0.881
0.875 0.756 0.381
0.250 0.750 0.500
0.500 0.500 0.000
```

The value obtained for the magnetization is 0.00 μB per formula unit. Its density of states at the Fermi level is 0.25 states/eV per atom.



Most stable of them? *B*.



*A*
VASP calculation (PBE) on a relaxed KCdC3 crystal.

```
KCdC3
1.0
4.528 0.000 0.000
0.000 4.528 0.000
0.000 0.000 4.528
K Cd C
1 1 3
direct
0.000 0.000 0.000
0.500 0.500 0.500
0.000 0.500 0.500
0.500 0.000 0.500
0.500 0.500 0.000
```

The value obtained for the magnetization is 2.73 μB per formula unit. Its density of states at the Fermi level is 0.70 states/eV per atom.



*B*
VASP calculation (PBE) on a relaxed KCdC3 crystal.

```
KCdC3
1.0
5.416 0.000 0.000
0.000 5.416 0.000
0.000 0.000 5.416
K Cd C
1 1 3
direct
0.000 0.000 0.000
0.500 0.500 0.500
0.000 0.000 0.500
0.000 0.500 0.000
0.500 0.000 0.000
```

The value obtained for the magnetization is 7.00 μB per formula unit. Its density of states at the Fermi level is 0.99 states/eV per atom.



Most stable of them? *A*.